VASP calculation (PBE) on a geometry-optimized ZrPtAu2 structure.

space group = P2/m
total energy = -5.65 eV per atom
crystal system = monoclinic
DOS(E_F) = 2.435 states/eV/cell

Cell lengths 4.692, 3.296, 4.973 Å; angles 90.00, 106.53, 90.00 degrees
Element x y z (fractional)
Zr (0.000, 0.000, 0.000)
Pt (0.500, 0.500, 0.000)
Au (0.000, 0.500, 0.500)
Au (0.500, 0.000, 0.500)

---

VASP calculation (PBE) on a geometry-optimized Y2AgCl structure.

relative energy among the computed polymorphs = 0.197 eV per atom
space group = Immm
total energy = -4.97 eV per atom
crystal system = orthorhombic
DOS(E_F) = 3.384 states/eV/cell

Cell lengths 5.430, 5.430, 5.430 Å; angles 134.83, 113.00, 84.51 degrees
Element x y z (fractional)
Y (0.229, 0.229, 0.000)
Y (0.771, 0.771, 0.000)
Ag (0.500, 0.000, 0.500)
Cl (0.000, 0.500, 0.500)

---

VASP calculation (PBE) on a geometry-optimized Th2ScIn9 structure.

space group = P4/mmm
total energy = -4.15 eV per atom
crystal system = tetragonal
DOS(E_F) = 6.008 states/eV/cell

Cell lengths 4.687, 4.687, 13.932 Å; angles 90.00, 90.00, 90.00 degrees
Element x y z (fractional)
Th (0.000, 0.000, 0.173)
Th (0.000, 0.000, 0.827)
Sc (0.000, 0.000, 0.500)
In (0.000, 0.500, 0.000)
In (0.000, 0.500, 0.345)
In (0.000, 0.500, 0.655)
In (0.500, 0.000, 0.000)
In (0.500, 0.000, 0.345)
In (0.500, 0.000, 0.655)
In (0.500, 0.500, 0.170)
In (0.500, 0.500, 0.500)
In (0.500, 0.500, 0.830)

---

VASP calculation (PBE) on a geometry-optimized PrGaCu structure.

space group = I4mm
total energy = -4.18 eV per atom
crystal system = tetragonal
DOS(E_F) = 2.451 states/eV/cell

Cell lengths 6.040, 6.040, 6.040 Å; angles 148.04, 148.04, 45.83 degrees
Element x y z (fractional)
Pr (0.000, 0.000, 0.000)
Ga (0.299, 0.299, 0.000)
Cu (0.692, 0.692, 0.000)